# 1
Mg2Nb2SnO8 | PBE | optimized geometry

Computed properties:
The value obtained for the calculated volume is 337.9 Å³ per cell. For the total energy, the calculation gives -196.3 eV/cell.

POSCAR file:
```
Mg2Nb2SnO8
1.0
10.8663 -0.0006 -0.0230
9.1463 5.8670 -0.0230
0.0829 0.0243 5.2992
Mg Nb Sn O
4 4 2 16
Direct
0.8701 0.5918 0.2539
0.4082 0.1299 0.2461
0.1299 0.4082 0.7461
0.5918 0.8701 0.7539
0.0471 0.6992 0.2313
0.3008 0.9529 0.2687
0.9529 0.3008 0.7687
0.6992 0.0471 0.7313
0.6989 0.3011 0.2500
0.3011 0.6989 0.7500
0.0012 0.8331 0.5391
0.1669 0.9988 0.9609
0.9988 0.1669 0.4609
0.8331 0.0012 0.0391
0.3108 0.5506 0.1115
0.4494 0.6892 0.3885
0.6892 0.4494 0.8885
0.5506 0.3108 0.6115
0.9186 0.6960 0.9526
0.3040 0.0814 0.5474
0.4496 0.1588 0.8837
0.8412 0.5504 0.6163
0.5504 0.8412 0.1163
0.1588 0.4496 0.3837
0.6960 0.9186 0.4526
0.0814 0.3040 0.0474
```


# 2
BaBe2Cr | PBE | optimized geometry

Computed properties:
As for the formation enthalpy at 0 K: 0.547 eV per atom. The value obtained for the calculated volume is 70.4 Å³ per cell.

POSCAR file:
```
BaBe2Cr
1.0
-2.8447 -0.3470 -1.2965
-1.2768 -0.1869 2.8516
-2.1784 6.9081 2.9311
Cr Ba Be
1 1 2
Direct
0.5000 0.2500 0.2500
0.5000 0.7500 0.7500
0.0000 0.8979 0.1023
0.0000 0.6021 0.3977
```


# 3
Ni2OsSe | PBE | optimized geometry

Computed properties:
The value obtained for the calculated volume is 53.6 Å³ per cell. For the total energy, the calculation gives -24.8 eV/cell.

POSCAR file:
```
Ni2OsSe
1.0
3.4590 0.0000 0.0000
0.0000 2.7142 0.1557
0.0000 2.4003 5.8514
Ni Os Se
2 1 1
Direct
0.0000 0.9928 0.0088
0.0000 0.5072 0.4912
0.5000 0.2500 0.2500
0.5000 0.7500 0.7500
```


# 4
CaSi2RuPt | PBE | optimized geometry

Computed properties:
The value obtained for the calculated volume is 85.6 Å³ per cell. For the total energy, the calculation gives -32.6 eV/cell.

POSCAR file:
```
CaSi2RuPt
1.0
4.1232 0.0000 0.0000
0.0000 4.1232 0.0000
-2.0616 -2.0616 5.0356
Ca Si Ru Pt
1 2 1 1
Direct
0.0000 0.0000 0.0000
0.6243 0.6243 0.2487
0.3757 0.3757 0.7513
0.2500 0.7500 0.5000
0.7500 0.2500 0.5000
```


# 5
LiSiHg4 | PBE | optimized geometry

Computed properties:
The value obtained for the calculated volume is 145.4 Å³ per cell. For the total energy, the calculation gives -6.7 eV/cell.

POSCAR file:
```
LiSiHg4
1.0
0.0000 4.1739 4.1739
4.1739 0.0000 4.1739
4.1739 4.1739 0.0000
Li Si Hg
1 1 4
Direct
0.7500 0.7500 0.7500
0.0000 0.0000 0.0000
0.8747 0.3751 0.3751
0.3751 0.3751 0.8747
0.3751 0.8747 0.3751
0.3751 0.3751 0.3751
```


# 6
BSe2S | PBE | optimized geometry

Computed properties:
The value obtained for the calculated volume is 63.2 Å³ per cell. For the total energy, the calculation gives -12.3 eV/cell.

POSCAR file:
```
BSe2S
1.0
1.9492 -2.6123 3.0607
0.8888 1.6112 4.0750
-2.3386 -1.4350 3.5304
S B Se
1 1 2
Direct
0.5000 0.5000 0.5000
0.0000 0.0000 0.0000
0.2500 0.2500 0.2500
0.7500 0.7500 0.7500
```


# 7
Mn2FeOs | PBE | optimized geometry

Computed properties:
As for the formation enthalpy at 0 K: 0.177 eV per atom. The value obtained for the calculated volume is 49.8 Å³ per cell.

POSCAR file:
```
Mn2FeOs
1.0
-0.7688 -2.7095 2.9726
2.1004 -1.3265 -0.6658
3.3310 2.0999 2.7755
Fe Mn Os
1 2 1
Direct
0.5000 0.7594 0.7619
0.0000 0.0027 0.9926
0.5000 0.2246 0.2525
0.0000 0.5132 0.4930
```


# 8
BaAs2W | PBE | optimized geometry

Computed properties:
As for the formation enthalpy at 0 K: -0.024 eV per atom. The value obtained for the calculated volume is 105.4 Å³ per cell.

POSCAR file:
```
BaAs2W
1.0
6.0518 -0.0133 0.0005
1.5543 5.8488 -0.0005
-2.4712 -4.6536 2.9767
As Ba W
2 1 1
Direct
0.0540 0.0540 0.0000
0.4460 0.4460 0.0000
0.7500 0.2500 0.5000
0.2500 0.7500 0.5000
```


# 9
BeInTe2 | PBE | optimized geometry

Computed properties:
The value obtained for the calculated volume is 99.1 Å³ per cell. For the total energy, the calculation gives -11.4 eV/cell.

POSCAR file:
```
BeInTe2
1.0
-0.7310 3.0645 -1.4181
-1.7555 0.8945 2.8378
6.9333 3.1754 3.2882
Be Te In
1 2 1
Direct
0.5000 0.5000 0.2500
0.0000 0.0000 0.0603
0.0000 0.0000 0.4397
0.5000 0.5000 0.7500
```


# 10
PmPr2Nd5Ho | PBE | optimized geometry

Computed properties:
As for the formation enthalpy at 0 K: 0.268 eV per atom. The value obtained for the calculated volume is 636.2 Å³ per cell.

POSCAR file:
```
PmPr2Nd5Ho
1.0
8.8189 0.0000 0.0000
0.0000 8.8189 0.0000
-4.4094 -4.4094 8.1809
Pm Pr Nd Ho
2 4 10 2
Direct
0.2500 0.2500 0.5000
0.7500 0.7500 0.5000
0.1195 0.3805 0.0000
0.6195 0.1195 0.0000
0.3805 0.8805 0.0000
0.8805 0.6195 0.0000
0.9281 0.4281 0.2829
0.6452 0.1452 0.7171
0.0719 0.5719 0.7171
0.1452 0.0719 0.7171
0.5719 0.6452 0.7171
0.8548 0.9281 0.2829
0.4281 0.3548 0.2829
0.3548 0.8548 0.2829
0.5000 0.5000 0.0000
0.0000 0.0000 0.0000
0.2500 0.7500 0.5000
0.7500 0.2500 0.5000
```


# 11
Li2TiCo | PBE | optimized geometry

Computed properties:
As for the formation enthalpy at 0 K: 0.450 eV per atom. The value obtained for the calculated volume is 50.9 Å³ per cell.

POSCAR file:
```
Li2TiCo
1.0
0.0000 2.9421 2.9421
2.9421 0.0000 2.9421
2.9421 2.9421 0.0000
Li Co Ti
2 1 1
Direct
0.2500 0.2500 0.2500
0.7500 0.7500 0.7500
0.5000 0.5000 0.5000
0.0000 0.0000 0.0000
```


# 12
Li4Cd2In5 | PBE | optimized geometry

Computed properties:
As for the formation enthalpy at 0 K: -0.123 eV per atom. The value obtained for the calculated volume is 249.2 Å³ per cell.

POSCAR file:
```
Li4Cd2In5
1.0
-1.0302 0.3485 -3.0089
-5.7457 -4.1740 1.4838
-6.0356 7.8165 4.6728
Li Cd In
4 2 5
Direct
0.6759 0.5261 0.3518
0.0404 0.6555 0.0808
0.3241 0.4739 0.6482
0.9596 0.3445 0.9192
0.7679 0.8051 0.5358
0.2321 0.1949 0.4642
0.1418 0.8738 0.2836
0.8582 0.1262 0.7164
0.0946 0.2839 0.1892
0.5000 0.0000 0.0000
0.9054 0.7161 0.8108
```


# 13
Na8Zr6BBr20 | PBE | optimized geometry

Computed properties:
The value obtained for the calculated volume is 1002.1 Å³ per cell. For the total energy, the calculation gives -151.6 eV/cell.

POSCAR file:
```
Na8Zr6BBr20
1.0
11.2325 0.0000 0.0000
5.6162 9.7276 0.0000
5.6162 3.2425 9.1713
Na Zr B Br
8 6 1 20
Direct
0.3608 0.3608 0.3608
0.6392 0.6392 0.6392
0.3608 0.3608 0.9176
0.3608 0.9176 0.3608
0.6392 0.6392 0.0824
0.6392 0.0824 0.6392
0.9176 0.3608 0.3608
0.0824 0.6392 0.6392
0.8543 0.1457 0.1457
0.1457 0.8543 0.8543
0.1457 0.8543 0.1457
0.8543 0.1457 0.8543
0.1457 0.1457 0.8543
0.8543 0.8543 0.1457
0.0000 0.0000 0.0000
0.3406 0.0000 0.0000
0.6594 0.0000 0.0000
0.0000 0.3406 0.6594
0.0000 0.6594 0.3406
0.0000 0.3406 0.0000
0.6594 0.0000 0.3406
0.0000 0.6594 0.0000
0.3406 0.0000 0.6594
0.0000 0.0000 0.3406
0.0000 0.0000 0.6594
0.6594 0.3406 0.0000
0.3406 0.6594 0.0000
0.6730 0.3270 0.3270
0.3270 0.6730 0.6730
0.3270 0.6730 0.3270
0.6730 0.3270 0.6730
0.3270 0.3270 0.6730
0.6730 0.6730 0.3270
0.2500 0.2500 0.2500
0.7500 0.7500 0.7500
```


# 14
CaLaAs | PBE | optimized geometry

Computed properties:
As for the formation enthalpy at 0 K: -0.059 eV per atom. The value obtained for the calculated volume is 98.0 Å³ per cell.

POSCAR file:
```
CaLaAs
1.0
5.1744 0.0000 0.0000
2.5872 4.4812 0.0000
2.5872 1.4937 4.2249
As Ca La
1 1 1
Direct
0.0000 0.0000 0.0000
0.5000 0.5000 0.5000
0.7500 0.7500 0.7500
```


# 15
Tl2GaCuC | PBE | optimized geometry

Computed properties:
As for the formation enthalpy at 0 K: 0.757 eV per atom. The value obtained for the calculated volume is 104.6 Å³ per cell.

POSCAR file:
```
Tl2GaCuC
1.0
5.3131 0.0000 0.0000
0.0000 3.7054 0.0000
0.0000 0.0000 5.3131
C Tl Cu Ga
1 2 1 1
Direct
0.0000 0.0000 0.0000
0.0000 0.0000 0.5000
0.5000 0.0000 0.0000
0.0000 0.5000 0.0000
0.5000 0.5000 0.5000
```


# 16
Er6AgC3 | PBE | optimized geometry

Computed properties:
As for the formation enthalpy at 0 K: -0.291 eV per atom. The value obtained for the calculated volume is 417.4 Å³ per cell.

POSCAR file:
```
Er6AgC3
1.0
-1.7345 -2.3021 -2.1166
-0.8668 -6.9173 8.2339
-9.1335 6.8131 0.0747
Er Ag C
12 2 6
Direct
0.7500 0.1765 0.5641
0.2500 0.8235 0.4359
0.7500 0.1353 0.0492
0.2500 0.8647 0.9508
0.7500 0.7563 0.6692
0.2500 0.2437 0.3308
0.7500 0.5389 0.3820
0.2500 0.4611 0.6180
0.7500 0.3537 0.8601
0.2500 0.6463 0.1399
0.7500 0.9457 0.2359
0.2500 0.0543 0.7641
0.7500 0.6284 0.8881
0.2500 0.3716 0.1119
0.7500 0.3476 0.4683
0.2500 0.6524 0.5317
0.7500 0.7399 0.2875
0.2500 0.2601 0.7125
0.7500 0.9590 0.8557
0.2500 0.0410 0.1443
```


# 17
ZrTl4Se4 | PBE | optimized geometry

Computed properties:
The value obtained for the calculated volume is 1406.0 Å³ per cell. For the total energy, the calculation gives -192.7 eV/cell.

POSCAR file:
```
ZrTl4Se4
1.0
-7.2524 4.7588 4.0216
-3.9984 -8.2868 2.6240
12.5788 1.9544 10.4126
Se Tl Zr
20 20 5
Direct
0.0665 0.0457 0.4027
0.9335 0.9543 0.5973
0.0744 0.3969 0.5791
0.9256 0.6031 0.4209
0.0773 0.2315 0.0196
0.9227 0.7685 0.9804
0.0897 0.5841 0.1791
0.9103 0.4159 0.8209
0.2493 0.0378 0.1906
0.7507 0.9622 0.8094
0.2544 0.3869 0.3782
0.7456 0.6131 0.6218
0.4496 0.3893 0.2007
0.5504 0.6107 0.7993
0.7134 0.2389 0.3968
0.2866 0.7611 0.6032
0.7271 0.4263 0.0054
0.2729 0.5737 0.9946
0.9082 0.2605 0.2231
0.0918 0.7395 0.7769
0.0383 0.0770 0.8003
0.9617 0.9230 0.1997
0.2092 0.7182 0.3997
0.7908 0.2818 0.6003
0.2173 0.0871 0.5965
0.7827 0.9129 0.4035
0.2205 0.4530 0.7947
0.7795 0.5470 0.2053
0.3782 0.0979 0.3858
0.6218 0.9021 0.6142
0.3869 0.7039 0.1886
0.6131 0.2961 0.8114
0.4114 0.4692 0.5956
0.5886 0.5308 0.4044
0.5854 0.1072 0.2002
0.4146 0.8928 0.7998
0.6060 0.7136 0.9956
0.3940 0.2864 0.0044
0.7811 0.1042 0.0114
0.2189 0.8958 0.9886
0.0148 0.6862 0.5987
0.9852 0.3138 0.4013
0.1797 0.3105 0.1992
0.8203 0.6895 0.8008
0.0000 0.5000 0.0000
```


# 18
Ti2VGaP | PBE | optimized geometry

Computed properties:
As for the formation enthalpy at 0 K: 1.078 eV per atom. The value obtained for the calculated volume is 96.7 Å³ per cell.

POSCAR file:
```
Ti2VGaP
1.0
4.7108 0.0000 0.0000
0.0000 4.3562 0.0000
0.0000 0.0000 4.7108
P Ti Ga V
1 2 1 1
Direct
0.0000 0.5000 0.0000
0.0000 0.0000 0.5000
0.5000 0.0000 0.0000
0.0000 0.0000 0.0000
0.5000 0.5000 0.5000
```


# 19
MgMoIr2 | PBE | optimized geometry

Computed properties:
As for the formation enthalpy at 0 K: 0.329 eV per atom. The value obtained for the calculated volume is 140.7 Å³ per cell.

POSCAR file:
```
MgMoIr2
1.0
7.1785 0.0000 0.0000
0.0000 7.1785 0.0000
3.5892 3.5892 2.7313
Mo Ir Mg
2 4 2
Direct
0.0000 0.0000 0.0000
0.7500 0.2500 0.5000
0.6610 0.1250 0.2500
0.0890 0.6250 0.2500
0.3750 0.3390 0.7500
0.8750 0.9110 0.7500
0.5000 0.5000 0.0000
0.2500 0.7500 0.5000
```


# 20
BaCaAl2Ga2 | PBE | optimized geometry

Computed properties:
As for the formation enthalpy at 0 K: -0.358 eV per atom. The value obtained for the calculated volume is 160.3 Å³ per cell.

POSCAR file:
```
BaCaAl2Ga2
1.0
4.4361 0.0000 0.0000
-2.2180 3.8417 0.0000
0.0000 0.0000 9.4054
Ba Ca Al Ga
1 1 2 2
Direct
0.0000 0.0000 0.0000
0.0000 0.0000 0.5000
0.6667 0.3333 0.7249
0.3333 0.6667 0.2751
0.6667 0.3333 0.2806
0.3333 0.6667 0.7194
```